# 1
Density functional theory data (PBE) for CaAu2Cl after structural relaxation.

Cell: 8.7993 8.7993 5.3259 Å, 90.00 90.00 90.00°
Atoms (fractional coordinates):
Ca 0.0000 0.0000 0.0000
Ca 0.0000 0.5000 0.2500
Ca 0.5000 0.0000 0.7500
Ca 0.5000 0.5000 0.5000
Au 0.2475 0.2500 0.1250
Au 0.2500 0.7475 0.3750
Au 0.2500 0.7525 0.8750
Au 0.2525 0.2500 0.6250
Au 0.7475 0.7500 0.6250
Au 0.7500 0.2475 0.8750
Au 0.7500 0.2525 0.3750
Au 0.7525 0.7500 0.1250
Cl 0.0000 0.0000 0.5000
Cl 0.0000 0.5000 0.7500
Cl 0.5000 0.0000 0.2500
Cl 0.5000 0.5000 0.0000

Formation energy (no corrections): -3.052 eV/f.u.
Energy relative to the lowest polymorph listed for this composition: 236 meV/atom
Total magnetic moment: 0.0 Bohr magnetons per cell

***

# 2
Density functional theory data (PBE) for CaAu4Cl after structural relaxation.

Cell: 5.6439 5.6439 5.6439 Å, 60.00 60.00 60.00°
Atoms (fractional coordinates):
Ca 0.0000 0.0000 0.0000
Au 0.3752 0.3752 0.3752
Au 0.3752 0.3752 0.8744
Au 0.3752 0.8744 0.3752
Au 0.8744 0.3752 0.3752
Cl 0.7500 0.7500 0.7500

Formation energy (no corrections): -2.980 eV/f.u.
Total magnetic moment: 0.0 Bohr magnetons per cell

***

# 3
Density functional theory data (PBE) for CaAu2Cl after structural relaxation.

Cell: 7.1652 7.1652 7.1652 Å, 90.00 90.00 90.00°
Atoms (fractional coordinates):
Ca 0.0000 0.0000 0.0000
Ca 0.0000 0.5000 0.5000
Ca 0.5000 0.0000 0.5000
Ca 0.5000 0.5000 0.0000
Au 0.2500 0.2500 0.2500
Au 0.2500 0.2500 0.7500
Au 0.2500 0.7500 0.2500
Au 0.2500 0.7500 0.7500
Au 0.7500 0.2500 0.2500
Au 0.7500 0.2500 0.7500
Au 0.7500 0.7500 0.2500
Au 0.7500 0.7500 0.7500
Cl 0.0000 0.0000 0.5000
Cl 0.0000 0.5000 0.0000
Cl 0.5000 0.0000 0.0000
Cl 0.5000 0.5000 0.5000

Formation energy (no corrections): -1.364 eV/f.u.
Energy relative to the lowest polymorph listed for this composition: 658 meV/atom
Total magnetic moment: 0.0 Bohr magnetons per cell